A plane-wave DFT calculation with PBE was carried out for crystalline FeCuNi2 at its relaxed geometry.

Values from the calculation:
Density of states at the Fermi level (states/eV/f.u.): 3.27
Total DFT energy (no corrections) (eV per cell): -44.9
Calculated formation energy (eV/atom): 0.42
Total moment (μB/f.u.): 4.4

Lattice parameters (Å, degrees): 6.3935 6.3935 5.1500 51.63 51.63 90.00
Last column: nearest neighbours and their distance in Å.
Element x y z (fractional)
Fe 0.2500 0.7500 0.5000  4 Ni 2.29, 2 Cu 2.47
Fe 0.5000 0.5000 0.0000  4 Ni 2.29, 2 Cu 2.47
Ni 0.6122 0.1250 0.2500  2 Fe 2.29, 2 Cu 2.40, 2 Ni 2.47
Ni 0.8750 0.8622 0.7500  2 Fe 2.29, 2 Cu 2.40, 2 Ni 2.47
Ni 0.1378 0.6250 0.2500  2 Fe 2.29, 2 Cu 2.40, 2 Ni 2.47
Ni 0.3750 0.3878 0.7500  2 Fe 2.29, 2 Cu 2.40, 2 Ni 2.47
Cu 0.7500 0.2500 0.5000  4 Ni 2.40, 2 Fe 2.47
Cu 0.0000 0.0000 0.0000  4 Ni 2.40, 2 Fe 2.47